Arrangement i

Computed, not measured: a relaxed structure of KRb4Au at the PBE-GGA level of DFT.

a = 10.2619 Å, b = 10.2619 Å, c = 8.2679 Å
α = 99.97°, β = 99.97°, γ = 105.30°
Sites, in units of the cell vectors:
K  0.1028  0.8972  0.7500
K  0.8972  0.1028  0.2500
Rb  0.1730  0.3517  0.8923
Rb  0.2355  0.5588  0.4475
Rb  0.3517  0.1730  0.3923
Rb  0.4412  0.7645  0.0525
Rb  0.5588  0.2355  0.9475
Rb  0.6483  0.8270  0.6077
Rb  0.7645  0.4412  0.5525
Rb  0.8270  0.6483  0.1077
Au  0.4978  0.5022  0.7500
Au  0.5022  0.4978  0.2500

Theoretical density   2.38 Mg/m³
Symmetry   C2/c (15)

Arrangement ii

Computed, not measured: a relaxed structure of KRb4Au at the PBE-GGA level of DFT.

a = 11.9213 Å, b = 11.9213 Å, c = 8.1465 Å
α = 104.23°, β = 104.23°, γ = 46.90°
Sites, in units of the cell vectors:
K  0.1958  0.1958  0.1801
K  0.8042  0.8042  0.8199
Rb  0.1462  0.6380  0.3857
Rb  0.2563  0.7437  0.0000
Rb  0.3216  0.3216  0.7859
Rb  0.3620  0.8538  0.6143
Rb  0.6380  0.1462  0.3857
Rb  0.6784  0.6784  0.2141
Rb  0.7437  0.2563  0.0000
Rb  0.8538  0.3620  0.6143
Au  0.4848  0.4848  0.6630
Au  0.5152  0.5152  0.3370

Theoretical density   2.36 Mg/m³
Symmetry   C2/m (12)

Name the least stable of them. arrangement i.

Arrangement i

Computed, not measured: a relaxed structure of KRbAu3 at the PBE-GGA level of DFT.

a = 6.2609 Å, b = 6.2609 Å, c = 6.2609 Å
α = 90.00°, β = 90.00°, γ = 90.00°
Sites, in units of the cell vectors:
K  0.0000  0.0000  0.0000
Rb  0.5000  0.5000  0.5000
Au  0.0000  0.5000  0.5000
Au  0.5000  0.0000  0.5000
Au  0.5000  0.5000  0.0000

Theoretical density   4.84 Mg/m³
Symmetry   Pm-3m (221)

Arrangement ii

Computed, not measured: a relaxed structure of KRbAu3 at the PBE-GGA level of DFT.

a = 6.0204 Å, b = 6.0204 Å, c = 6.0204 Å
α = 90.00°, β = 90.00°, γ = 90.00°
Sites, in units of the cell vectors:
K  0.0000  0.0000  0.0000
Rb  0.5000  0.5000  0.5000
Au  0.0000  0.0000  0.5000
Au  0.0000  0.5000  0.0000
Au  0.5000  0.0000  0.0000

Theoretical density   5.44 Mg/m³
Symmetry   Pm-3m (221)

Arrangement iii

Computed, not measured: a relaxed structure of KRbAu3 at the PBE-GGA level of DFT.

a = 8.3772 Å, b = 8.3772 Å, c = 8.3772 Å
α = 48.96°, β = 48.96°, γ = 48.96°
Sites, in units of the cell vectors:
K  0.0811  0.0811  0.0811
K  0.9189  0.9189  0.9189
Rb  0.3550  0.3550  0.3550
Rb  0.6450  0.6450  0.6450
Au  0.0721  0.6610  0.6610
Au  0.3390  0.3390  0.9279
Au  0.3390  0.9279  0.3390
Au  0.6610  0.0721  0.6610
Au  0.6610  0.6610  0.0721
Au  0.9279  0.3390  0.3390

Theoretical density   7.74 Mg/m³
Symmetry   R-3m (166)

Name the least stable of them. arrangement i.

Arrangement i

Computed, not measured: a relaxed structure of K7RbAu3 at the PBE-GGA level of DFT.

a = 9.4503 Å, b = 9.4503 Å, c = 7.8502 Å
α = 90.00°, β = 90.00°, γ = 120.00°
Sites, in units of the cell vectors:
K  0.0000  0.0000  0.0000
K  0.3323  0.1662  0.4938
K  0.5025  0.0049  0.0097
K  0.5025  0.4975  0.0097
K  0.8338  0.1662  0.4938
K  0.8338  0.6677  0.4938
K  0.9951  0.4975  0.0097
Rb  0.3333  0.6667  0.5041
Au  0.1643  0.3287  0.2451
Au  0.1643  0.8357  0.2451
Au  0.6713  0.8357  0.2451

Theoretical density   2.60 Mg/m³
Symmetry   P3m1 (156)

Arrangement ii

Computed, not measured: a relaxed structure of K7RbAu3 at the PBE-GGA level of DFT.

a = 9.1333 Å, b = 9.1333 Å, c = 11.3146 Å
α = 126.13°, β = 126.13°, γ = 62.38°
Sites, in units of the cell vectors:
K  0.0000  0.0000  0.0000
K  0.4228  0.9227  0.8389
K  0.5030  0.5030  0.0033
K  0.5034  0.9975  0.5034
K  0.9227  0.4228  0.8389
K  0.9234  0.9234  0.3339
K  0.9975  0.5034  0.5034
Rb  0.4155  0.4155  0.3352
Au  0.2109  0.7148  0.1666
Au  0.7131  0.7131  0.6741
Au  0.7148  0.2109  0.1666

Theoretical density   2.60 Mg/m³
Symmetry   Cm (8)

Name the least stable of them. arrangement i.